Below is crystalline Nd3Th12Si5 at its relaxed geometry, with properties calculated at the PBE-GGA level.

Properties
E_form (uncorrected) = 0.42 eV/atom

Geometry as POSCAR:
```
Nd3Th12Si5
1.0
-8.901 8.901 8.901
8.901 -8.901 8.901
8.901 8.901 -8.901
Nd Th Si
12 48 20
Direct
0.125 0.250 0.375 Nd
0.125 0.375 0.750 Nd
0.250 0.375 0.125 Nd
0.250 0.875 0.625 Nd
0.375 0.125 0.250 Nd
0.375 0.750 0.125 Nd
0.625 0.250 0.875 Nd
0.625 0.875 0.750 Nd
0.750 0.125 0.375 Nd
0.750 0.625 0.875 Nd
0.875 0.625 0.250 Nd
0.875 0.750 0.625 Nd
0.038 0.213 0.111 Th
0.038 0.325 0.927 Th
0.073 0.611 0.399 Th
0.073 0.962 0.675 Th
0.101 0.713 0.675 Th
0.101 0.889 0.427 Th
0.111 0.038 0.213 Th
0.111 0.573 0.899 Th
0.175 0.213 0.601 Th
0.175 0.462 0.573 Th
0.213 0.111 0.038 Th
0.213 0.601 0.175 Th
0.287 0.325 0.899 Th
0.287 0.462 0.389 Th
0.325 0.899 0.287 Th
0.325 0.927 0.038 Th
0.389 0.287 0.462 Th
0.389 0.601 0.927 Th
0.399 0.073 0.611 Th
0.399 0.825 0.787 Th
0.427 0.101 0.889 Th
0.427 0.825 0.538 Th
0.462 0.389 0.287 Th
0.462 0.573 0.175 Th
0.538 0.427 0.825 Th
0.538 0.611 0.713 Th
0.573 0.175 0.462 Th
0.573 0.899 0.111 Th
0.601 0.175 0.213 Th
0.601 0.927 0.389 Th
0.611 0.399 0.073 Th
0.611 0.713 0.538 Th
0.675 0.073 0.962 Th
0.675 0.101 0.713 Th
0.713 0.538 0.611 Th
0.713 0.675 0.101 Th
0.787 0.399 0.825 Th
0.787 0.889 0.962 Th
0.825 0.538 0.427 Th
0.825 0.787 0.399 Th
0.889 0.427 0.101 Th
0.889 0.962 0.787 Th
0.899 0.111 0.573 Th
0.899 0.287 0.325 Th
0.927 0.038 0.325 Th
0.927 0.389 0.601 Th
0.962 0.675 0.073 Th
0.962 0.787 0.889 Th
0.000 0.000 0.000 Si
0.000 0.000 0.500 Si
0.000 0.500 0.000 Si
0.000 0.500 0.500 Si
0.125 0.750 0.875 Si
0.125 0.875 0.250 Si
0.250 0.125 0.875 Si
0.250 0.625 0.375 Si
0.375 0.250 0.625 Si
0.375 0.625 0.750 Si
0.500 0.000 0.000 Si
0.500 0.000 0.500 Si
0.500 0.500 0.000 Si
0.500 0.500 0.500 Si
0.625 0.375 0.250 Si
0.625 0.750 0.375 Si
0.750 0.375 0.625 Si
0.750 0.875 0.125 Si
0.875 0.125 0.750 Si
0.875 0.250 0.125 Si
```